# 1
First-principles (GGA-PBE) data for an optimized crystal structure of Mn2ReHg, as listed in the Alexandria database.

POSCAR file:
```
Mn2ReHg
1.0
1.4122 0.8153 8.9394
-1.4122 0.8153 8.9394
0.0000 -1.6306 8.9394
Mn Re Hg
2 1 1
direct
0.0000 0.0000 0.0000 Mn
0.2593 0.2593 0.2593 Mn
0.7374 0.7374 0.7374 Re
0.5017 0.5017 0.5017 Hg
```

Calculated values
Magnetic moment, μB/atom: 1.083
Uncorrected energy, Ry per atom: -0.538
Formation enthalpy at 0 K, eV per atom: 0.45
DOS at the Fermi energy, states/eV/atom: 0.65
Space-group type: R3m


# 2
First-principles (GGA-PBE) data for an optimized crystal structure of MnReHg2, as listed in the Alexandria database.

POSCAR file:
```
MnReHg2
1.0
1.5834 -2.3658 0.0000
1.5834 2.3658 0.0000
0.0000 0.0000 9.5499
Mn Re Hg
1 1 2
direct
0.0000 0.0000 0.0000 Mn
0.0000 0.0000 0.5000 Re
0.5000 0.5000 0.2431 Hg
0.5000 0.5000 0.7569 Hg
```

Calculated values
Magnetic moment, μB/atom: 0.904
Uncorrected energy, Ry per atom: -0.354
Formation enthalpy at 0 K, eV per atom: 0.75
Distance to the lowest polymorph of the same formula, meV per atom: 355
DOS at the Fermi energy, states/eV/atom: 0.75
Space-group type: Cmmm


# 3
First-principles (GGA-PBE) data for an optimized crystal structure of MnReHg2, as listed in the Alexandria database.

POSCAR file:
```
MnReHg2
1.0
1.4764 0.8524 9.4350
-1.4764 0.8524 9.4350
0.0000 -1.7048 9.4350
Mn Re Hg
1 1 2
direct
0.0000 0.0000 0.0000 Mn
0.5000 0.5000 0.5000 Re
0.2515 0.2515 0.2515 Hg
0.7485 0.7485 0.7485 Hg
```

Calculated values
Magnetic moment, μB/atom: 0.957
Uncorrected energy, Ry per atom: -0.358
Formation enthalpy at 0 K, eV per atom: 0.69
Distance to the lowest polymorph of the same formula, meV per atom: 300
DOS at the Fermi energy, states/eV/atom: 1.04
Space-group type: R-3m


# 4
First-principles (GGA-PBE) data for an optimized crystal structure of Mn2ReHg, as listed in the Alexandria database.

POSCAR file:
```
Mn2ReHg
1.0
2.9780 0.0000 0.0000
0.0000 2.9780 0.0000
0.0000 0.0000 6.9326
Mn Re Hg
2 1 1
direct
0.0000 0.0000 0.0000 Mn
0.5000 0.5000 0.2196 Mn
0.0000 0.0000 0.4075 Re
0.5000 0.5000 0.7202 Hg
```

Calculated values
Magnetic moment, μB/atom: 1.191
Uncorrected energy, Ry per atom: -0.545
Formation enthalpy at 0 K, eV per atom: 0.36
DOS at the Fermi energy, states/eV/atom: 0.46
Space-group type: P4mm


# 5
First-principles (GGA-PBE) data for an optimized crystal structure of MnRe3Hg, as listed in the Alexandria database.

POSCAR file:
```
MnRe3Hg
1.0
4.4718 0.0000 0.0000
0.0000 4.4718 0.0000
0.0000 0.0000 4.4718
Mn Re Hg
1 3 1
direct
0.0000 0.0000 0.0000 Mn
0.0000 0.0000 0.5000 Re
0.0000 0.5000 0.0000 Re
0.5000 0.0000 0.0000 Re
0.5000 0.5000 0.5000 Hg
```

Calculated values
Magnetic moment, μB/atom: 0.161
Uncorrected energy, Ry per atom: -0.572
Formation enthalpy at 0 K, eV per atom: 1.59
Distance to the lowest polymorph of the same formula, meV per atom: 0
DOS at the Fermi energy, states/eV/atom: 1.37
Space-group type: Pm-3m


# 6
First-principles (GGA-PBE) data for an optimized crystal structure of Mn2ReHg, as listed in the Alexandria database.

POSCAR file:
```
Mn2ReHg
1.0
2.9430 0.0000 0.0000
0.0000 2.9430 0.0000
0.0000 0.0000 7.1262
Mn Re Hg
2 1 1
direct
0.0000 0.0000 0.2192 Mn
0.0000 0.0000 0.7808 Mn
0.5000 0.5000 0.0000 Re
0.5000 0.5000 0.5000 Hg
```

Calculated values
Magnetic moment, μB/atom: 1.316
Uncorrected energy, Ry per atom: -0.550
Formation enthalpy at 0 K, eV per atom: 0.28
DOS at the Fermi energy, states/eV/atom: 0.92
Space-group type: P4/mmm